## Zr2OF2 (GGA-PBE)

Data for Zr2OF2 after structural relaxation.

a b c (Å): 6.075 6.075 4.256
angles (deg): 90.00 90.00 90.00
Space group P4/mbm (No. 127)
Symmetry-distinct sites (fractional):
Zr1 0.185 0.315 0.000 x4
O1 0.000 0.000 0.000 x2
F1 0.186 0.314 0.500 x4

Computed properties:
- Energy relative to the lowest polymorph listed for this composition: 0.0000 eV/atom
- Formation energy (no corrections): -2688 meV/atom
- Volume: 15.709 Å³ per atom